#1
TiBi3N | PBE | relaxed

Geometry as CIF:
```
data_TiBi3N
_chemical_formula_sum 'Ti1 Bi3 N1'
_cell_length_a 4.8835
_cell_length_b 4.8835
_cell_length_c 4.8835
_cell_angle_alpha 90.00
_cell_angle_beta 90.00
_cell_angle_gamma 90.00
_space_group_name_H-M_alt 'P m -3 m'
_space_group_IT_number 221
_space_group_name_Hall '-P 4 2 3'
loop_
_atom_site_label
_atom_site_fract_x
_atom_site_fract_y
_atom_site_fract_z
Ti1 0.0000 0.0000 0.0000
Bi1 0.0000 0.5000 0.5000
N1 0.5000 0.5000 0.5000
```



#2
TiBi3N | PBE | relaxed

Geometry as CIF:
```
data_TiBi3N
_chemical_formula_sum 'Ti1 Bi3 N1'
_cell_length_a 5.3832
_cell_length_b 5.3832
_cell_length_c 5.3832
_cell_angle_alpha 90.00
_cell_angle_beta 90.00
_cell_angle_gamma 90.00
_space_group_name_H-M_alt 'P m -3 m'
_space_group_IT_number 221
_space_group_name_Hall '-P 4 2 3'
loop_
_atom_site_label
_atom_site_fract_x
_atom_site_fract_y
_atom_site_fract_z
Ti1 0.0000 0.0000 0.0000
Bi1 0.0000 0.0000 0.5000
N1 0.5000 0.5000 0.5000
```



Each structure's energy above the most stable one, in meV per atom: #1 0; #2 519.



#1
TiBi2N2 | PBE | relaxed

Geometry as CIF:
```
data_TiBi2N2
_chemical_formula_sum 'Ti2 Bi4 N4'
_cell_length_a 6.1251
_cell_length_b 6.1251
_cell_length_c 4.7682
_cell_angle_alpha 90.00
_cell_angle_beta 90.00
_cell_angle_gamma 90.00
_space_group_name_H-M_alt 'P 4/m b m'
_space_group_IT_number 127
_space_group_name_Hall '-P 4 2ab'
loop_
_atom_site_label
_atom_site_fract_x
_atom_site_fract_y
_atom_site_fract_z
Ti1 0.0000 0.0000 0.0000
Bi1 0.1811 0.3189 0.5000
N1 0.2501 0.2499 0.0000
```



#2
TiBi2N2 | PBE | relaxed

Geometry as CIF:
```
data_TiBi2N2
_chemical_formula_sum 'Ti2 Bi4 N4'
_cell_length_a 5.8887
_cell_length_b 5.8887
_cell_length_c 5.7420
_cell_angle_alpha 90.00
_cell_angle_beta 90.00
_cell_angle_gamma 90.00
_space_group_name_H-M_alt 'I 4/m m m'
_space_group_IT_number 139
_space_group_name_Hall '-I 4 2'
loop_
_atom_site_label
_atom_site_fract_x
_atom_site_fract_y
_atom_site_fract_z
Ti1 0.0000 0.0000 0.0000
Bi1 0.0000 0.5000 0.2500
N1 0.0000 0.0000 0.3979
```



Each structure's energy above the most stable one, in meV per atom: #1 65; #2 0.